Below is SmTcGe3Os after structural relaxation, with properties calculated at the PBE level.

Results
Crystal system: orthorhombic
DFT total energy in eV for the cell shown: -81.66
E_form in eV per atom: -0.1105

a b c (Å): 6.895 6.895 5.705
angles (deg): 90.00 90.00 109.44
Fractional coordinates of all 12 atoms:
Sm1 0.235 0.765 0.750
Sm2 0.765 0.235 0.250
Tc1 0.452 0.548 0.250
Tc2 0.548 0.452 0.750
Ge1 0.248 0.752 0.250
Ge2 0.252 0.252 0.000
Ge3 0.252 0.252 0.500
Ge4 0.748 0.748 0.000
Ge5 0.748 0.748 0.500
Ge6 0.752 0.248 0.750
Os1 0.042 0.958 0.250
Os2 0.958 0.042 0.750